A) Below is a relaxed CsZrSc crystal, with properties calculated at the PBE level.

Computed properties:
The theoretical density comes out at 4.8 g cm⁻³.

Cell: 5.0844 5.0844 5.0844 Å, 60.00 60.00 60.00°
Last column: nearest neighbours and their distance in Å.
Element x y z (fractional)
Zr 0.7500 0.7500 0.7500  4 Cs 3.11
Cs 0.0000 0.0000 0.0000  4 Zr 3.11, 4 Sc 3.11
Sc 0.2500 0.2500 0.2500  4 Cs 3.11



B) Below is a relaxed CsZrSc crystal, with properties calculated at the PBE level.

Computed properties:
The theoretical density comes out at 3.7 g cm⁻³.

Cell: 5.5706 5.5706 5.5706 Å, 60.00 60.00 60.00°
Last column: nearest neighbours and their distance in Å.
Element x y z (fractional)
Sc 0.0000 0.0000 0.0000  4 Zr 3.41, 4 Cs 3.41
Zr 0.7500 0.7500 0.7500  4 Sc 3.41
Cs 0.2500 0.2500 0.2500  4 Sc 3.41



The most stable of them is B).



A) Below is a relaxed CsSmSnSe3 crystal, with properties calculated at the PBE level.

Computed properties:
The theoretical density comes out at 4.8 g cm⁻³.

Cell: 8.8260 8.8260 12.1718 Å, 90.00 90.00 152.28°
Last column: nearest neighbours and their distance in Å.
Element x y z (fractional)
Cs 0.7004 0.2996 0.2500  2 Se 3.50
Cs 0.2996 0.7004 0.7500  2 Se 3.50
Se 0.3840 0.6160 0.0121  2 Sm 2.91, 1 Sn 2.91
Se 0.3840 0.6160 0.4879  2 Sm 2.91, 1 Sn 2.91
Se 0.6160 0.3840 0.5121  2 Sm 2.91, 1 Sn 2.91
Se 0.6160 0.3840 0.9879  2 Sm 2.91, 1 Sn 2.91
Se 0.0063 0.9937 0.2500  2 Sn 2.80, 2 Sm 3.04
Se 0.9937 0.0063 0.7500  2 Sn 2.80, 2 Sm 3.04
Sn 0.6012 0.3988 0.7500  4 Se 2.80-2.91
Sn 0.3988 0.6012 0.2500  4 Se 2.80-2.91
Sm 0.0000 0.0000 0.5000  6 Se 2.91-3.04
Sm 0.0000 0.0000 0.0000  6 Se 2.91-3.04



B) Below is a relaxed CsSmSnSe3 crystal, with properties calculated at the PBE level.

Computed properties:
The theoretical density comes out at 4.8 g cm⁻³.

Cell: 16.7787 4.2735 12.3252 Å, 90.00 90.00 90.00°
Last column: nearest neighbours and their distance in Å.
Element x y z (fractional)
Sn 0.4633 0.7500 0.9100  3 Se 2.67-2.80
Sn 0.0367 0.2500 0.4100  3 Se 2.67-2.80
Sn 0.5367 0.2500 0.0900  3 Se 2.67-2.80
Sn 0.9633 0.7500 0.5900  3 Se 2.67-2.80
Se 0.4165 0.2500 0.2322  1 Sn 2.67
Se 0.9044 0.7500 0.9552  3 Sm 2.88-2.92
Se 0.0956 0.2500 0.0448  3 Sm 2.88-2.92
Se 0.9165 0.2500 0.2678  1 Sn 2.67
Se 0.8752 0.2500 0.6750  2 Sn 2.80, 1 Sm 3.00
Se 0.6248 0.7500 0.1750  2 Sn 2.80, 1 Sm 3.00
Se 0.3752 0.2500 0.8250  2 Sn 2.80, 1 Sm 3.00
Se 0.5956 0.2500 0.4552  3 Sm 2.88-2.92
Se 0.5835 0.7500 0.7678  1 Sn 2.67
Se 0.0835 0.7500 0.7322  1 Sn 2.67
Se 0.1248 0.7500 0.3250  2 Sn 2.80, 1 Sm 3.00
Se 0.4044 0.7500 0.5448  3 Sm 2.88-2.92
Sm 0.5037 0.7500 0.3538  6 Se 2.88-3.00
Sm 0.9963 0.2500 0.8538  6 Se 2.88-3.00
Sm 0.4963 0.2500 0.6462  6 Se 2.88-3.00
Sm 0.0037 0.7500 0.1462  6 Se 2.88-3.00
Cs 0.7333 0.2500 0.9231  5 Se 3.60-3.88, 1 Sn 3.89
Cs 0.7667 0.7500 0.4231  5 Se 3.60-3.88, 1 Sn 3.89
Cs 0.2333 0.2500 0.5769  5 Se 3.60-3.88, 1 Sn 3.89
Cs 0.2667 0.7500 0.0769  5 Se 3.60-3.88, 1 Sn 3.89



The most stable of them is B).



A) Below is a relaxed CsTbYSe3 crystal, with properties calculated at the PBE level.

Computed properties:
The theoretical density comes out at 4.9 g cm⁻³.

Cell: 4.5579 8.5020 11.2168 Å, 90.00 90.00 105.55°
Last column: nearest neighbours and their distance in Å.
Element x y z (fractional)
Y 0.0000 0.0000 0.5000  6 Se 2.97-3.00
Y 0.0000 0.0000 0.0000  6 Se 2.97-3.00
Cs 0.7387 0.4775 0.7500  8 Se 3.72-4.05
Cs 0.2613 0.5225 0.2500  8 Se 3.72-4.05
Se 0.3840 0.7680 0.5404  1 Tb 2.72, 2 Y 3.00
Se 0.9407 0.8814 0.2500  2 Tb 2.73, 2 Y 2.97
Se 0.6160 0.2320 0.4596  1 Tb 2.72, 2 Y 3.00
Se 0.3840 0.7680 0.9596  1 Tb 2.72, 2 Y 3.00
Se 0.6160 0.2320 0.0404  1 Tb 2.72, 2 Y 3.00
Se 0.0593 0.1186 0.7500  2 Tb 2.73, 2 Y 2.97
Tb 0.5324 0.0648 0.2500  4 Se 2.72-2.73
Tb 0.4676 0.9352 0.7500  4 Se 2.72-2.73



B) Below is a relaxed CsTbYSe3 crystal, with properties calculated at the PBE level.

Computed properties:
The theoretical density comes out at 4.9 g cm⁻³.

Cell: 8.4881 8.4881 11.2435 Å, 90.00 90.00 149.03°
Last column: nearest neighbours and their distance in Å.
Element x y z (fractional)
Se 0.5582 0.4418 0.7500  2 Y 2.73, 2 Tb 2.97
Se 0.8830 0.1170 0.9591  1 Y 2.71, 2 Tb 3.00
Se 0.1170 0.8830 0.4591  1 Y 2.71, 2 Tb 3.00
Se 0.8830 0.1170 0.5409  1 Y 2.71, 2 Tb 3.00
Se 0.1170 0.8830 0.0409  1 Y 2.71, 2 Tb 3.00
Se 0.4418 0.5582 0.2500  2 Y 2.73, 2 Tb 2.97
Cs 0.7626 0.2374 0.2500  8 Se 3.71-4.04
Cs 0.2374 0.7626 0.7500  8 Se 3.71-4.04
Tb 0.5000 0.5000 0.0000  6 Se 2.97-3.00
Tb 0.5000 0.5000 0.5000  6 Se 2.97-3.00
Y 0.9654 0.0346 0.7500  4 Se 2.71-2.73
Y 0.0346 0.9654 0.2500  4 Se 2.71-2.73



The most stable of them is B).



A) Below is a relaxed CsYTmSe3 crystal, with properties calculated at the PBE level.

Computed properties:
The theoretical density comes out at 5.1 g cm⁻³.

Cell: 8.4874 8.4874 11.2223 Å, 90.00 90.00 149.38°
Last column: nearest neighbours and their distance in Å.
Element x y z (fractional)
Se 0.0573 0.9427 0.2500  2 Tm 2.70, 2 Y 2.96
Se 0.9427 0.0573 0.7500  2 Tm 2.70, 2 Y 2.96
Se 0.3829 0.6171 0.0453  1 Tm 2.67
Se 0.6171 0.3829 0.9547  1 Tm 2.67
Se 0.3829 0.6171 0.4547  1 Tm 2.67
Se 0.6171 0.3829 0.5453  1 Tm 2.67
Y 0.0000 0.0000 0.0000  6 Se 2.96-2.99
Y 0.0000 0.0000 0.5000  6 Se 2.96-2.99
Cs 0.7381 0.2619 0.2500  8 Se 3.71-3.99
Cs 0.2619 0.7381 0.7500  8 Se 3.71-3.99
Tm 0.4658 0.5342 0.2500  4 Se 2.67-2.70
Tm 0.5342 0.4658 0.7500  4 Se 2.67-2.70



B) Below is a relaxed CsYTmSe3 crystal, with properties calculated at the PBE level.

Computed properties:
The theoretical density comes out at 5.1 g cm⁻³.

Cell: 8.4975 8.4975 11.0871 Å, 90.00 90.00 149.35°
Last column: nearest neighbours and their distance in Å.
Element x y z (fractional)
Cs 0.7595 0.2405 0.7500  8 Se 3.70-4.03
Cs 0.2405 0.7595 0.2500  8 Se 3.70-4.03
Tm 0.5000 0.5000 0.0000  6 Se 2.95-2.96
Tm 0.5000 0.5000 0.5000  6 Se 2.95-2.96
Se 0.1146 0.8854 0.5376  1 Y 2.71, 2 Tm 2.96
Se 0.8854 0.1146 0.4624  1 Y 2.71, 2 Tm 2.96
Se 0.1146 0.8854 0.9624  1 Y 2.71, 2 Tm 2.96
Se 0.4391 0.5609 0.7500  2 Y 2.72, 2 Tm 2.95
Se 0.5609 0.4391 0.2500  2 Y 2.72, 2 Tm 2.95
Se 0.8854 0.1146 0.0376  1 Y 2.71, 2 Tm 2.96
Y 0.0324 0.9676 0.7500  4 Se 2.71-2.72
Y 0.9676 0.0324 0.2500  4 Se 2.71-2.72



The most stable of them is A).



A) Below is a relaxed CsThSi crystal, with properties calculated at the PBE level.

Computed properties:
The theoretical density comes out at 6.3 g cm⁻³.

Cell: 5.2791 5.2791 5.2791 Å, 60.00 60.00 60.00°
Last column: nearest neighbours and their distance in Å.
Element x y z (fractional)
Th 0.7500 0.7500 0.7500  4 Si 3.23
Si 0.0000 0.0000 0.0000  4 Th 3.23, 4 Cs 3.23
Cs 0.2500 0.2500 0.2500  4 Si 3.23



B) Below is a relaxed CsThSi crystal, with properties calculated at the PBE level.

Computed properties:
The theoretical density comes out at 6.8 g cm⁻³.

Cell: 5.1352 5.1352 5.1352 Å, 60.00 60.00 60.00°
Last column: nearest neighbours and their distance in Å.
Element x y z (fractional)
Cs 0.0000 0.0000 0.0000  4 Th 3.14, 4 Si 3.14
Si 0.7500 0.7500 0.7500  4 Cs 3.14
Th 0.2500 0.2500 0.2500  4 Cs 3.14



The most stable of them is A).



A) Below is a relaxed CsTmSi crystal, with properties calculated at the PBE level.

Computed properties:
The theoretical density comes out at 5.1 g cm⁻³.

Cell: 5.3405 5.3405 5.3405 Å, 60.00 60.00 60.00°
Last column: nearest neighbours and their distance in Å.
Element x y z (fractional)
Tm 0.7500 0.7500 0.7500  4 Si 3.27
Si 0.0000 0.0000 0.0000  4 Tm 3.27, 4 Cs 3.27
Cs 0.2500 0.2500 0.2500  4 Si 3.27



B) Below is a relaxed CsTmSi crystal, with properties calculated at the PBE level.

Computed properties:
The theoretical density comes out at 6.6 g cm⁻³.

Cell: 9.1436 9.1436 3.4350 Å, 90.00 90.00 120.00°
Last column: nearest neighbours and their distance in Å.
Element x y z (fractional)
Tm 0.0000 0.0000 0.5000  6 Cs 3.30, 3 Si 3.31, 2 Tm 3.44
Tm 0.3333 0.6667 0.0000  3 Cs 3.17, 6 Si 3.39, 2 Tm 3.44
Tm 0.6667 0.3333 0.0000  3 Cs 3.17, 6 Si 3.39, 2 Tm 3.44
Cs 0.6918 0.6918 0.0000  4 Tm 3.17-3.30, 2 Cs 3.44, 6 Si 3.47-3.54
Cs 0.0000 0.3082 0.0000  4 Tm 3.17-3.30, 2 Cs 3.44, 6 Si 3.47-3.54
Cs 0.3082 0.0000 0.0000  4 Tm 3.17-3.30, 2 Cs 3.44, 6 Si 3.47-3.54
Si 0.3623 0.3623 0.5000  5 Tm 3.31-3.39, 2 Si 3.44, 6 Cs 3.47-3.54
Si 0.0000 0.6377 0.5000  5 Tm 3.31-3.39, 2 Si 3.44, 6 Cs 3.47-3.54
Si 0.6377 0.0000 0.5000  5 Tm 3.31-3.39, 2 Si 3.44, 6 Cs 3.47-3.54



The most stable of them is A).